A relaxed structure of Ti6NbBi. Source: the Alexandria database, functional PBE-GGA.

Unit cell a=4.520 b=5.837 c=5.837 alpha=71.16 beta=90.00 gamma=90.00
Fractional coordinates of all 8 atoms:
Ti (0.000, 0.000, 0.000)
Ti (0.000, 0.541, 0.981)
Ti (0.000, 0.981, 0.541)
Ti (0.500, 0.291, 0.765)
Ti (0.500, 0.765, 0.291)
Ti (0.500, 0.794, 0.794)
Nb (0.000, 0.519, 0.519)
Bi (0.500, 0.271, 0.271)

Output
* calculated total energy: -7.698 eV per atom
* total magnetization: 0.000 μB per formula unit
* symmetry: No. 38
* energy above the most stable polymorph in this dataset: 0.0000 eV/atom
* ΔH_f (0 K): -0.3 eV per formula unit

A relaxed structure of Ti6NbBi2. Source: the Alexandria database, functional PBE-GGA.

Unit cell a=3.575 b=7.582 c=7.582 alpha=120.43 beta=90.00 gamma=90.00
Fractional coordinates of all 9 atoms:
Ti (0.000, 0.000, 0.000)
Ti (0.000, 0.508, 0.757)
Ti (0.000, 0.757, 0.508)
Ti (0.500, 0.135, 0.753)
Ti (0.500, 0.371, 0.371)
Ti (0.500, 0.753, 0.135)
Nb (0.500, 0.751, 0.751)
Bi (0.000, 0.088, 0.420)
Bi (0.000, 0.420, 0.088)

Output
* calculated total energy: -7.252 eV per atom
* total magnetization: 0.000 μB per formula unit
* symmetry: No. 38
* ΔH_f (0 K): -0.1 eV per formula unit

A relaxed structure of TiNbBi. Source: the Alexandria database, functional PBE-GGA.

Unit cell a=4.520 b=4.520 c=7.977 alpha=106.72 beta=106.72 gamma=59.77
Fractional coordinates of all 6 atoms:
Ti (0.175, 0.175, 0.484)
Ti (0.825, 0.825, 0.516)
Nb (0.303, 0.303, 0.901)
Nb (0.697, 0.697, 0.099)
Bi (0.427, 0.427, 0.280)
Bi (0.573, 0.573, 0.720)

Output
* calculated total energy: -6.855 eV per atom
* total magnetization: 0.000 μB per formula unit
* symmetry: No. 12
* energy above the most stable polymorph in this dataset: 0.4452 eV/atom
* ΔH_f (0 K): 1.3 eV per formula unit

A relaxed structure of Ti4Nb2Bi. Source: the Alexandria database, functional PBE-GGA.

Unit cell a=7.597 b=7.597 c=5.278 alpha=97.38 beta=97.38 gamma=61.00
Fractional coordinates of all 14 atoms:
Ti (0.063, 0.063, 0.268)
Ti (0.144, 0.669, 0.188)
Ti (0.331, 0.856, 0.812)
Ti (0.345, 0.219, 0.185)
Ti (0.522, 0.066, 0.695)
Ti (0.781, 0.655, 0.815)
Ti (0.934, 0.478, 0.305)
Ti (0.937, 0.937, 0.732)
Nb (0.058, 0.253, 0.796)
Nb (0.664, 0.336, 0.000)
Nb (0.676, 0.324, 0.500)
Nb (0.747, 0.942, 0.204)
Bi (0.249, 0.502, 0.681)
Bi (0.498, 0.751, 0.319)

Output
* calculated total energy: -7.976 eV per atom
* total magnetization: 0.000 μB per formula unit
* symmetry: No. 5
* ΔH_f (0 K): -0.2 eV per formula unit

A relaxed structure of Ti8NbBi2. Source: the Alexandria database, functional PBE-GGA.

Unit cell a=7.605 b=7.605 c=6.513 alpha=111.11 beta=111.11 gamma=36.74
Fractional coordinates of all 11 atoms:
Ti (0.007, 0.007, 0.240)
Ti (0.158, 0.158, 0.662)
Ti (0.355, 0.355, 0.623)
Ti (0.399, 0.399, 0.081)
Ti (0.601, 0.601, 0.919)
Ti (0.645, 0.645, 0.377)
Ti (0.842, 0.842, 0.338)
Ti (0.993, 0.993, 0.760)
Nb (0.500, 0.500, 0.500)
Bi (0.196, 0.196, 0.169)
Bi (0.804, 0.804, 0.831)

Output
* calculated total energy: -7.367 eV per atom
* total magnetization: 0.000 μB per formula unit
* symmetry: No. 12
* ΔH_f (0 K): 0.0 eV per formula unit

A relaxed structure of Ti12NbBi6. Source: the Alexandria database, functional PBE-GGA.

Unit cell a=8.051 b=8.051 c=8.051 alpha=110.33 beta=110.33 gamma=110.33
Fractional coordinates of all 19 atoms:
Ti (0.062, 0.312, 0.199)
Ti (0.199, 0.062, 0.312)
Ti (0.243, 0.590, 0.658)
Ti (0.312, 0.199, 0.062)
Ti (0.342, 0.757, 0.410)
Ti (0.410, 0.342, 0.757)
Ti (0.590, 0.658, 0.243)
Ti (0.658, 0.243, 0.590)
Ti (0.688, 0.801, 0.938)
Ti (0.757, 0.410, 0.342)
Ti (0.801, 0.938, 0.688)
Ti (0.938, 0.688, 0.801)
Nb (0.500, 0.500, 0.500)
Bi (0.104, 0.878, 0.600)
Bi (0.122, 0.400, 0.896)
Bi (0.400, 0.896, 0.122)
Bi (0.600, 0.104, 0.878)
Bi (0.878, 0.600, 0.104)
Bi (0.896, 0.122, 0.400)

Output
* calculated total energy: -6.735 eV per atom
* total magnetization: 0.000 μB per formula unit
* symmetry: No. 148
* ΔH_f (0 K): 0.1 eV per formula unit